[1]
A relaxed structure of LiNbZn. Source: the Alexandria database, functional PBE-GGA.

Properties
ΔE_f: 0.037 eV per atom
relative energy among the computed polymorphs: 86.5 meV per atom

Unit cell a=4.7946 b=2.5760 c=8.2772 alpha=90.00 beta=95.78 gamma=90.00
Space group P2_1/m (No. 11)
One atom of each set of equivalent atoms:
Li 0.1889 0.2500 0.2169 x2
Nb 0.2616 0.7500 0.5763 x2
Zn 0.3358 0.2500 0.8849 x2



[2]
A relaxed structure of TcTe2Se. Source: the Alexandria database, functional PBE-GGA.

Properties
formation energy (no corrections): 4.82 kcal/mol of atoms

Unit cell a=3.2618 b=4.5354 c=12.8709 alpha=90.00 beta=90.00 gamma=90.00
Space group Immm (No. 71)
One atom of each set of equivalent atoms:
Tc 0.0000 0.0000 0.0000 x2
Te 0.0000 0.5000 0.3294 x4
Se 0.0000 0.0000 0.5000 x2



[3]
A relaxed structure of HoCo2B. Source: the Alexandria database, functional PBE-GGA.

Properties
ΔE_f: -0.071 eV per atom

Unit cell a=4.9354 b=7.1343 c=3.1406 alpha=90.00 beta=90.00 gamma=90.00
Space group Cmmm (No. 65)
One atom of each set of equivalent atoms:
Ho 0.0000 0.0000 0.0000 x2
Co 0.0000 0.3331 0.5000 x4
B 0.0000 0.5000 0.0000 x2



[4]
A relaxed structure of Li2MgRh. Source: the Alexandria database, functional PBE-GGA.

Properties
ΔE_f: -0.098 eV per atom

Unit cell a=2.8158 b=4.1395 c=5.3498 alpha=90.00 beta=90.00 gamma=90.00
Space group Pmmm (No. 47)
One atom of each set of equivalent atoms:
Li 0.0000 0.0000 0.2148 x2
Mg 0.5000 0.5000 0.5000 x1
Rh 0.5000 0.5000 0.0000 x1



[5]
A relaxed structure of Ni2MoW. Source: the Alexandria database, functional PBE-GGA.

Properties
ΔE_f: 0.048 eV per atom
relative energy among the computed polymorphs: 56.4 meV per atom

Unit cell a=2.6677 b=2.6677 c=7.5343 alpha=90.00 beta=90.00 gamma=90.00
Space group P4/mmm (No. 123)
One atom of each set of equivalent atoms:
Ni 0.0000 0.0000 0.2475 x2
Mo 0.5000 0.5000 0.5000 x1
W 0.5000 0.5000 0.0000 x1



[6]
A relaxed structure of Ce4Tm3Se8. Source: the Alexandria database, functional PBE-GGA.

Properties
formation energy (no corrections): -36.35 kcal/mol of atoms

Unit cell a=8.1005 b=8.1005 c=23.0430 alpha=90.00 beta=90.00 gamma=120.00
Space group R-3m (No. 166, hexagonal axes)
One atom of each set of equivalent atoms:
Ce 0.0000 0.0000 0.0000 x3
Ce 0.0000 0.0000 0.1463 x6
Ce 0.0000 0.0000 0.5000 x3
Tm 0.0000 0.5000 0.0000 x9
Se 0.0000 0.0000 0.2699 x6
Se 0.0128 0.5064 0.2567 x18



[7]
A relaxed structure of VAs. Source: the Alexandria database, functional PBE-GGA.

Properties
ΔE_f: 0.222 eV per atom

Unit cell a=6.9530 b=6.9530 c=6.9530 alpha=90.00 beta=90.00 gamma=90.00
Space group Pm-3n (No. 223)
One atom of each set of equivalent atoms:
V 0.0000 0.2500 0.5000 x6
As 0.0000 0.5000 0.2500 x6



[8]
A relaxed structure of U4Tc3. Source: the Alexandria database, functional PBE-GGA.

Properties
ΔE_f: 0.003 eV per atom

Unit cell a=2.8915 b=4.6498 c=18.5746 alpha=90.00 beta=90.00 gamma=90.00
Space group Immm (No. 71)
One atom of each set of equivalent atoms:
U 0.0000 0.0000 0.0719 x4
U 0.0000 0.5000 0.1439 x4
Tc 0.0000 0.0000 0.5000 x2
Tc 0.0000 0.5000 0.2805 x4



[9]
A relaxed structure of SrFe2Mo. Source: the Alexandria database, functional PBE-GGA.

Properties
ΔE_f: 0.850 eV per atom
relative energy among the computed polymorphs: 385.7 meV per atom

Unit cell a=2.7915 b=5.0334 c=10.0147 alpha=90.00 beta=90.00 gamma=90.00
Space group Imm2 (No. 44)
One atom of each set of equivalent atoms:
Sr 0.0000 0.0000 0.0000 x2
Fe 0.0000 0.0000 0.5165 x2
Fe 0.0000 0.5000 0.2127 x2
Mo 0.0000 0.5000 0.7979 x2



[10]
A relaxed structure of ZnFe2C2. Source: the Alexandria database, functional PBE-GGA.

Properties
ΔE_f: 0.567 eV per atom
relative energy among the computed polymorphs: 0.0 meV per atom

Unit cell a=2.7842 b=2.7842 c=11.9058 alpha=90.00 beta=90.00 gamma=90.00
Space group I4/mmm (No. 139)
One atom of each set of equivalent atoms:
Zn 0.0000 0.0000 0.0000 x2
Fe 0.0000 0.0000 0.3623 x4
C 0.0000 0.5000 0.2500 x4



[11]
A relaxed structure of La5Pr2NdSc. Source: the Alexandria database, functional PBE-GGA.

Properties
ΔE_f: 0.257 eV per atom

Unit cell a=9.1192 b=9.1192 c=7.7582 alpha=90.00 beta=90.00 gamma=90.00
Space group P4/mbm (No. 127)
One atom of each set of equivalent atoms:
La 0.0000 0.0000 0.0000 x2
La 0.2108 0.2892 0.2850 x8
Pr 0.1159 0.6159 0.0000 x4
Nd 0.0000 0.0000 0.5000 x2
Sc 0.0000 0.5000 0.5000 x2



[12]
A relaxed structure of BaSr. Source: the Alexandria database, functional PBE-GGA.

Properties
ΔE_f: 0.005 eV per atom
relative energy among the computed polymorphs: 4.9 meV per atom

Unit cell a=4.8824 b=6.9118 c=13.8369 alpha=90.00 beta=90.00 gamma=90.00
Space group Imma (No. 74)
One atom of each set of equivalent atoms:
Ba 0.0000 0.2500 0.1228 x4
Sr 0.0000 0.2500 0.6279 x4



[13]
A relaxed structure of DyY4Ho2Mg. Source: the Alexandria database, functional PBE-GGA.

Properties
ΔE_f: 0.023 eV per atom

Unit cell a=4.9725 b=4.9725 c=9.9765 alpha=90.00 beta=90.00 gamma=90.00
Space group P4/mmm (No. 123)
One atom of each set of equivalent atoms:
Dy 0.0000 0.0000 0.0000 x1
Y 0.0000 0.5000 0.2526 x4
Ho 0.0000 0.0000 0.5000 x1
Ho 0.5000 0.5000 0.0000 x1
Mg 0.5000 0.5000 0.5000 x1



[14]
A relaxed structure of Ac2AgPO6. Source: the Alexandria database, functional PBE-GGA.

Properties
formation energy (no corrections): -55.04 kcal/mol of atoms

Unit cell a=5.6125 b=5.6125 c=4.6431 alpha=90.00 beta=90.00 gamma=90.00
Space group P4mm (No. 99)
One atom of each set of equivalent atoms:
Ac 0.0000 0.5000 0.0000 x2
Ag 0.0000 0.0000 0.4976 x1
P 0.5000 0.5000 0.5795 x1
O 0.0000 0.0000 0.0333 x1
O 0.2950 0.2950 0.6734 x4
O 0.5000 0.5000 0.2361 x1



[15]
A relaxed structure of Tb6Er3Sc. Source: the Alexandria database, functional PBE-GGA.

Properties
ΔE_f: 0.237 eV per atom
relative energy among the computed polymorphs: 95.6 meV per atom

Unit cell a=9.6917 b=9.6917 c=11.7179 alpha=90.00 beta=90.00 gamma=120.00
Space group R3 (No. 146, hexagonal axes)
One atom of each set of equivalent atoms:
Tb 0.0013 0.6778 0.0000 x9
Tb 0.0077 0.3354 0.4998 x9
Er 0.0000 0.0000 0.1516 x3
Er 0.0000 0.0000 0.3995 x3
Er 0.0000 0.0000 0.6591 x3
Sc 0.0000 0.0000 0.9022 x3



[16]
A relaxed structure of La3CdAg2. Source: the Alexandria database, functional PBE-GGA.

Properties
ΔE_f: -0.281 eV per atom
relative energy among the computed polymorphs: 3.0 meV per atom

Unit cell a=5.4484 b=16.2971 c=3.8891 alpha=90.00 beta=90.00 gamma=90.00
Space group Cmmm (No. 65)
One atom of each set of equivalent atoms:
La 0.0000 0.0000 0.0000 x2
La 0.0000 0.3275 0.0000 x4
Cd 0.0000 0.5000 0.5000 x2
Ag 0.0000 0.1600 0.5000 x4



[17]
A relaxed structure of SrSm2CuS4. Source: the Alexandria database, functional PBE-GGA.

Properties
formation energy (no corrections): -40.24 kcal/mol of atoms

Unit cell a=3.9662 b=13.3604 c=13.8341 alpha=90.00 beta=90.00 gamma=90.00
Space group Cmcm (No. 63)
One atom of each set of equivalent atoms:
Sr 0.0000 0.1148 0.2500 x4
Sm 0.0000 0.3701 0.0588 x8
Cu 0.0000 0.1550 0.7500 x4
S 0.0000 0.0000 0.0000 x4
S 0.0000 0.2726 0.6224 x8
S 0.0000 0.4420 0.2500 x4



[18]
A relaxed structure of MoRuRhW. Source: the Alexandria database, functional PBE-GGA.

Properties
ΔE_f: -0.078 eV per atom

Unit cell a=3.8683 b=3.9246 c=3.9349 alpha=90.00 beta=90.00 gamma=90.00
Space group Pmmm (No. 47)
One atom of each set of equivalent atoms:
Mo 0.0000 0.0000 0.0000 x1
Ru 0.5000 0.5000 0.0000 x1
Rh 0.5000 0.0000 0.5000 x1
W 0.0000 0.5000 0.5000 x1



[19]
A relaxed structure of Rb2HfBeS4. Source: the Alexandria database, functional PBE-GGA.

Properties
formation energy (no corrections): -30.61 kcal/mol of atoms

Unit cell a=5.6326 b=13.9443 c=24.6749 alpha=90.00 beta=90.00 gamma=90.00
Space group Fddd (No. 70, origin choice 2)
One atom of each set of equivalent atoms:
Rb 0.1250 0.1250 0.3022 x16
Hf 0.1250 0.1250 0.1250 x8
Be 0.1250 0.1250 0.6250 x8
S 0.0974 0.2835 0.8246 x32



[20]
A relaxed structure of In2NiCl. Source: the Alexandria database, functional PBE-GGA.

Properties
relative energy among the computed polymorphs: 43.2 meV per atom
formation energy (no corrections): -4.91 kcal/mol of atoms

Unit cell a=3.5234 b=3.5234 c=7.7845 alpha=90.00 beta=90.00 gamma=90.00
Space group P4mm (No. 99)
One atom of each set of equivalent atoms:
In 0.0000 0.0000 0.0000 x1
In 0.5000 0.5000 0.4098 x1
Ni 0.0000 0.0000 0.3233 x1
Cl 0.5000 0.5000 0.7840 x1



[21]
A relaxed structure of CoCuAs2Br. Source: the Alexandria database, functional PBE-GGA.

Properties
relative energy among the computed polymorphs: 0.0 meV per atom
formation energy (no corrections): 12.59 kcal/mol of atoms

Unit cell a=4.4410 b=4.4410 c=5.3658 alpha=90.00 beta=90.00 gamma=90.00
Space group P4/mmm (No. 123)
One atom of each set of equivalent atoms:
Co 0.0000 0.0000 0.0000 x1
Cu 0.5000 0.5000 0.5000 x1
As 0.0000 0.5000 0.0000 x2
Br 0.0000 0.0000 0.5000 x1



[22]
A relaxed structure of FeRe2Te. Source: the Alexandria database, functional PBE-GGA.

Properties
formation energy (no corrections): 17.01 kcal/mol of atoms

Unit cell a=2.9731 b=2.9731 c=25.2031 alpha=90.00 beta=90.00 gamma=120.00
Space group R-3m (No. 166, hexagonal axes)
One atom of each set of equivalent atoms:
Fe 0.0000 0.0000 0.0000 x3
Re 0.0000 0.0000 0.2556 x6
Te 0.0000 0.0000 0.5000 x3



[23]
A relaxed structure of IrPb3O6F2. Source: the Alexandria database, functional PBE-GGA.

Properties
formation energy (no corrections): -26.58 kcal/mol of atoms

Unit cell a=11.2293 b=6.7743 c=5.2683 alpha=90.00 beta=95.09 gamma=90.00
Space group C2/m (No. 12)
One atom of each set of equivalent atoms:
Ir 0.0000 0.0000 0.0000 x2
Pb 0.0000 0.5000 0.5000 x2
Pb 0.2500 0.2500 0.0000 x4
O 0.0702 0.2105 0.7995 x8
O 0.1597 0.0000 0.2011 x4
F 0.1767 0.5000 0.2593 x4



[24]
A relaxed structure of BaAl4Ir. Source: the Alexandria database, functional PBE-GGA.

Properties
ΔE_f: -0.278 eV per atom

Unit cell a=6.7211 b=6.8709 c=7.4973 alpha=116.18 beta=101.02 gamma=91.44
Space group P-1 (No. 2)
One atom of each set of equivalent atoms:
Ba 0.0881 0.1869 0.3496 x2
Al 0.2666 0.6866 0.3182 x2
Al 0.2868 0.2820 0.9822 x2
Al 0.2881 0.6813 0.9489 x2
Al 0.4407 0.9934 0.6610 x2
Ir 0.0000 0.5000 0.0000 x1
Ir 0.5000 0.0000 0.0000 x1